(1)
Y2TmIn3Pd2Au: optimized geometry, GGA-PBE.

Lattice parameters (Å, degrees): 3.8074 13.4822 7.8187 90.00 90.00 90.00
Space group Amm2 (No. 38)
One atom of each set of equivalent atoms:
Y 0.0000 0.2024 0.0000 x4
Tm 0.0000 0.0000 0.6081 x2
In 0.5000 0.0000 0.9325 x2
In 0.5000 0.1349 0.3380 x4
Pd 0.5000 0.1643 0.7014 x4
Au 0.0000 0.0000 0.2041 x2

=====

(2)
Gd2CuAu3: optimized geometry, GGA-PBE.

Lattice parameters (Å, degrees): 3.7436 3.7436 9.0130 90.00 90.00 90.00
Space group P4mm (No. 99)
One atom of each set of equivalent atoms:
Gd 0.0000 0.0000 0.0000 x1
Gd 0.5000 0.5000 0.4966 x1
Cu 0.0000 0.0000 0.3264 x1
Au 0.0000 0.0000 0.6550 x1
Au 0.5000 0.5000 0.1735 x1
Au 0.5000 0.5000 0.8347 x1

Properties
* formation enthalpy at 0 K: -683.9 meV/atom

=====

(3)
DyUPa: optimized geometry, GGA-PBE.

Lattice parameters (Å, degrees): 7.0568 7.0568 7.0568 90.00 90.00 90.00
Space group F-43m (No. 216)
One atom of each set of equivalent atoms:
Dy 0.0000 0.0000 0.0000 x4
U 0.2500 0.2500 0.2500 x4
Pa 0.0000 0.0000 0.5000 x4

Properties
* ΔE to the lowest computed polymorph: 0.000 eV/atom
* formation enthalpy at 0 K: 1143.8 meV/atom

=====

(4)
BaTaBe: optimized geometry, GGA-PBE.

Lattice parameters (Å, degrees): 6.8586 6.8586 6.8586 90.00 90.00 90.00
Space group F-43m (No. 216)
One atom of each set of equivalent atoms:
Ba 0.0000 0.0000 0.0000 x4
Ta 0.2500 0.2500 0.2500 x4
Be 0.2500 0.2500 0.7500 x4

Properties
* ΔE to the lowest computed polymorph: 0.812 eV/atom

=====

(5)
TaSnPt2: optimized geometry, GGA-PBE.

Lattice parameters (Å, degrees): 6.5406 6.5406 6.5406 90.00 90.00 90.00
Space group F-43m (No. 216)
One atom of each set of equivalent atoms:
Ta 0.0000 0.0000 0.0000 x4
Sn 0.2500 0.2500 0.7500 x4
Pt 0.0000 0.0000 0.5000 x4
Pt 0.2500 0.2500 0.2500 x4

=====

(6)
LuBeNbFe: optimized geometry, GGA-PBE.

Lattice parameters (Å, degrees): 6.2109 6.2109 6.2109 90.00 90.00 90.00
Space group F-43m (No. 216)
One atom of each set of equivalent atoms:
Lu 0.0000 0.0000 0.0000 x4
Be 0.2500 0.2500 0.2500 x4
Nb 0.2500 0.2500 0.7500 x4
Fe 0.0000 0.0000 0.5000 x4

Properties
* ΔE to the lowest computed polymorph: 0.137 eV/atom

=====

VASP energy, record by record: -5.142, -4.488, -7.321, -3.506, -7.192, -6.425 eV/atom
Volume, record by record: 401, 126, 351, 323, 280, 240 Å³ per cell